(1)
First-principles (PBE-GGA) data for a relaxed K2MnAgSe4 crystal, as listed in the Alexandria database.

- Formation energy from raw total energies: -0.64 eV/atom
- D(E_F): 1.92 states/eV/f.u.

a b c (Å): 5.9868 13.4244 23.3633
angles (deg): 90.00 90.00 90.00
With the nearest neighbours (Å) after each atom.
Space group Fddd (No. 70, origin choice 2)
Inequivalent atoms, fractional coordinates:
K 0.1250 0.1250 0.3082  6 Se 3.39-3.64
Mn 0.1250 0.1250 0.6250  4 Se 2.30
Ag 0.1250 0.1250 0.1250  4 Se 2.62
Se 0.0812 0.2741 0.8152  1 Mn 2.30

(2)
First-principles (PBE-GGA) data for a relaxed KAgMo2 crystal, as listed in the Alexandria database.

- D(E_F): 2.83 states/eV/f.u.
- Total DFT energy (no corrections): -20.2 eV/cell

a b c (Å): 3.8349 3.8349 5.4822
angles (deg): 90.00 90.00 90.00
With the nearest neighbours (Å) after each atom.
Space group P4/mmm (No. 123)
Inequivalent atoms, fractional coordinates:
K 0.0000 0.0000 0.0000  4 Ag 2.71
Ag 0.5000 0.5000 0.0000  4 K 2.71
Mo 0.0000 0.5000 0.5000  4 Mo 2.71

(3)
First-principles (PBE-GGA) data for a relaxed KAgMo2 crystal, as listed in the Alexandria database.

- D(E_F): 3.72 states/eV/f.u.
- Total DFT energy (no corrections): -79.4 eV/cell

a b c (Å): 4.3014 4.3014 21.5592
angles (deg): 90.00 90.00 90.00
With the nearest neighbours (Å) after each atom.
Space group I-42d (No. 122)
Inequivalent atoms, fractional coordinates:
K 0.0000 0.0000 0.0000  4 Ag 3.04, 4 Mo 3.37
Ag 0.0000 0.0000 0.5000  4 Mo 2.93, 4 K 3.04
Mo 0.1004 0.2500 0.6250  2 Mo 2.32

Question: Which formula does entry 3 have?
Answer: KAgMo2